No. 1
The following is a DFT calculation (PBE-GGA) of a relaxed KNa2Sr crystal.

Cell: 14.646 14.646 14.646 Å, 16.05 16.05 16.05°
Atoms (fractional coordinates):
K 0.000 0.000 0.000
Na 0.414 0.414 0.414
Na 0.586 0.586 0.586
Sr 0.500 0.500 0.500

## Properties
**Total magnetization**: 0.00 μB per formula unit
**Calculated total energy**: -1.21 eV per atom
**Polymorph energy (0 for the lowest one)**: 10.9 kJ per mole of atoms
**Energy of formation**: 0.144 eV per atom

***

No. 2
The following is a DFT calculation (PBE-GGA) of a relaxed LaDy4TmS8 crystal.

Cell: 8.090 8.090 8.090 Å, 60.17 60.17 60.17°
Atoms (fractional coordinates):
La 0.000 0.000 0.000
Dy 0.128 0.623 0.623
Dy 0.249 0.249 0.249
Dy 0.623 0.128 0.623
Dy 0.623 0.623 0.128
Tm 0.624 0.624 0.624
S 0.381 0.381 0.381
S 0.384 0.384 0.852
S 0.384 0.852 0.384
S 0.413 0.860 0.860
S 0.852 0.384 0.384
S 0.860 0.413 0.860
S 0.860 0.860 0.413
S 0.862 0.862 0.862

## Properties
**Raw formation energy**: -2626 kJ/mol of formula units
**Total magnetization**: 0.00 μB per formula unit
**Calculated total energy**: -6.29 eV per atom

***

No. 3
The following is a DFT calculation (PBE-GGA) of a relaxed Tm12SbPd6 crystal.

Cell: 8.513 8.513 8.513 Å, 109.47 109.47 109.47°
Atoms (fractional coordinates):
Tm 0.112 0.297 0.815
Tm 0.185 0.482 0.297
Tm 0.185 0.888 0.703
Tm 0.297 0.185 0.482
Tm 0.297 0.815 0.112
Tm 0.482 0.297 0.185
Tm 0.518 0.703 0.815
Tm 0.703 0.185 0.888
Tm 0.703 0.815 0.518
Tm 0.815 0.112 0.297
Tm 0.815 0.518 0.703
Tm 0.888 0.703 0.185
Sb 0.000 0.000 0.000
Pd 0.138 0.500 0.638
Pd 0.362 0.862 0.500
Pd 0.500 0.362 0.862
Pd 0.500 0.638 0.138
Pd 0.638 0.138 0.500
Pd 0.862 0.500 0.362

## Properties
**Raw formation energy**: -1258 kJ/mol of formula units
**Total magnetization**: 0.00 μB per formula unit
**Calculated total energy**: -5.37 eV per atom

***

No. 4
The following is a DFT calculation (PBE-GGA) of a relaxed PW3C crystal.

Cell: 4.130 4.130 4.130 Å, 90.00 90.00 90.00°
Atoms (fractional coordinates):
P 0.000 0.000 0.000
W 0.000 0.500 0.500
W 0.500 0.000 0.500
W 0.500 0.500 0.000
C 0.500 0.500 0.500

## Properties
**Total magnetization**: 0.00 μB per formula unit
**Calculated total energy**: -10.13 eV per atom
**Polymorph energy (0 for the lowest one)**: 0.0 kJ per mole of atoms
**Energy of formation**: 0.570 eV per atom

***

No. 5
The following is a DFT calculation (PBE-GGA) of a relaxed RbNaNiHg2 crystal.

Cell: 5.204 5.204 5.395 Å, 90.00 90.00 90.00°
Atoms (fractional coordinates):
Rb 0.000 0.000 0.000
Na 0.500 0.500 0.000
Ni 0.500 0.500 0.500
Hg 0.000 0.500 0.500
Hg 0.500 0.000 0.500

## Properties
**Total magnetization**: 0.00 μB per formula unit
**Calculated total energy**: -1.75 eV per atom
**Energy of formation**: -0.018 eV per atom

***

No. 6
The following is a DFT calculation (PBE-GGA) of a relaxed TcHgPb crystal.

Cell: 5.853 5.853 5.853 Å, 145.58 145.58 49.47°
Atoms (fractional coordinates):
Tc 0.000 0.000 0.000
Hg 0.345 0.345 0.000
Pb 0.641 0.641 0.000

## Properties
**Total magnetization**: 0.78 μB per formula unit
**Calculated total energy**: -4.10 eV per atom
**Polymorph energy (0 for the lowest one)**: 1.7 kJ per mole of atoms
**Energy of formation**: 0.697 eV per atom

***

No. 7
The following is a DFT calculation (PBE-GGA) of a relaxed ZrMoAs2 crystal.

Cell: 7.852 7.852 7.852 Å, 24.53 24.53 24.53°
Atoms (fractional coordinates):
Zr 0.000 0.000 0.000
Mo 0.500 0.500 0.500
As 0.243 0.243 0.243
As 0.757 0.757 0.757

## Properties
**Total magnetization**: 0.00 μB per formula unit
**Calculated total energy**: -7.39 eV per atom
**Polymorph energy (0 for the lowest one)**: 42.5 kJ per mole of atoms
**Energy of formation**: -0.218 eV per atom

***

No. 8
The following is a DFT calculation (PBE-GGA) of a relaxed SmTc4C2 crystal.

Cell: 7.128 7.128 3.913 Å, 90.00 90.00 147.84°
Atoms (fractional coordinates):
Sm 0.000 0.000 0.000
Tc 0.178 0.822 0.500
Tc 0.315 0.685 0.000
Tc 0.685 0.315 0.000
Tc 0.822 0.178 0.500
C 0.369 0.631 0.500
C 0.631 0.369 0.500

## Properties
**Total magnetization**: 0.00 μB per formula unit
**Calculated total energy**: -9.18 eV per atom
**Energy of formation**: 0.050 eV per atom

***

Number 1: volume 209 Å³/f.u.. Number 2: volume 376 Å³/f.u.. Number 3: volume 475 Å³/f.u.. Number 4: volume 70 Å³/f.u.. Number 5: volume 146 Å³/f.u.. Number 6: volume 64 Å³/f.u.. Number 7: volume 73 Å³/f.u.. Number 8: volume 106 Å³/f.u..